VASP calculation (PBE) on a geometry-optimized Rb2Cd4Ag5 structure.

CIF file:
```
data_Rb2Cd4Ag5
_symmetry_space_group_name_H-M 'P 1'
_symmetry_Int_Tables_number 1
_cell_length_a 10.4020
_cell_length_b 9.4224
_cell_length_c 6.2396
_cell_angle_alpha 80.45
_cell_angle_beta 63.29
_cell_angle_gamma 36.27
loop_
_symmetry_equiv_pos_as_xyz
'x,y,z'
loop_
_atom_site_label
_atom_site_fract_x
_atom_site_fract_y
_atom_site_fract_z
Rb1 0.1382 0.1382 0.8618
Rb2 0.8618 0.8618 0.1382
Cd1 0.2123 0.5324 0.4676
Cd2 0.4676 0.7877 0.2123
Cd3 0.5324 0.2123 0.7877
Cd4 0.7877 0.4676 0.5324
Ag1 0.0000 0.0000 0.5000
Ag2 0.2500 0.2500 0.2500
Ag3 0.5000 0.5000 0.0000
Ag4 0.5000 0.5000 0.5000
Ag5 0.7500 0.7500 0.7500
```

Values from the calculation:
DFT formation energy (eV/atom): 0.00
Crystal system: orthorhombic
Calculated total energy (eV per atom): -1.8003